BaVCr2O8 | PBE with a Hubbard U | relaxed

Geometry as CIF:
```
data_BaVCr2O8
_chemical_formula_sum 'Ba1 V1 Cr2 O8'
_cell_length_a 5.3752
_cell_length_b 5.3752
_cell_length_c 7.4007
_cell_angle_alpha 90.00
_cell_angle_beta 90.00
_cell_angle_gamma 120.00
_space_group_name_H-M_alt 'P -3'
_space_group_IT_number 147
_space_group_name_Hall '-P 3'
loop_
_atom_site_label
_atom_site_type_symbol
_atom_site_fract_x
_atom_site_fract_y
_atom_site_fract_z
Ba1 Ba 0.0000 0.0000 0.0000
V1 V 0.0000 0.0000 0.5000
Cr1 Cr 0.3333 0.6667 0.7358
O1 O 0.0948 0.3267 0.6670
O2 O 0.3333 0.6667 0.9615
```

Values from the calculation:
As for the density of states at the Fermi level: 0.224 states/eV/atom. The total DFT energy (no corrections) comes out at -85.233 eV per cell. The crystal system is trigonal. As for the calculated volume: 15.4 Å³ per atom.